Entry from Alexandria via LeMat-Bulk: a relaxed SbTeMo2 crystal (PBE).

polymorph energy (0 for the lowest one) = 691 meV/atom
space group = No. 216

extended XYZ file:
```
4
Lattice="0.000 3.399 3.399 3.399 0.000 3.399 3.399 3.399 0.000" Properties=species:S:1:pos:R:3 pbc="T T T"
Sb 0.000 0.000 0.000
Te 1.700 1.700 1.700
Mo 3.399 3.399 3.399
Mo 5.099 5.099 5.099
```


Entry from Alexandria via LeMat-Bulk: a relaxed Y2ZrHg crystal (PBE).

space group = No. 65
total DFT energy (no corrections) = -5.516 eV/atom

extended XYZ file:
```
4
Lattice="3.640 -4.153 0.000 3.640 4.153 0.000 0.000 0.000 3.480" Properties=species:S:1:pos:R:3 pbc="T T T"
Y 1.820 2.076 0.000
Y 1.820 -2.076 0.000
Zr 0.000 0.000 1.740
Hg 3.640 0.000 1.740
```


Entry from Alexandria via LeMat-Bulk: a relaxed GdTmZrSc crystal (PBE).

space group = No. 216
total DFT energy (no corrections) = -8.187 eV/atom

extended XYZ file:
```
4
Lattice="0.000 3.778 3.778 3.778 0.000 3.778 3.778 3.778 0.000" Properties=species:S:1:pos:R:3 pbc="T T T"
Gd 0.000 0.000 0.000
Tm 1.889 1.889 1.889
Zr 3.778 3.778 3.778
Sc 5.667 5.667 5.667
```


Entry from Alexandria via LeMat-Bulk: a relaxed PrNd7Ho4 crystal (PBE).

polymorph energy (0 for the lowest one) = 0 meV/atom
space group = No. 2

extended XYZ file:
```
12
Lattice="6.342 0.000 0.000 0.001 7.323 0.000 2.113 0.000 8.772" Properties=species:S:1:pos:R:3 pbc="T T T"
Pr 0.000 0.000 0.000
Nd 0.000 3.661 0.000
Nd 2.124 7.322 2.937
Nd 3.180 1.847 5.823
Nd 3.176 1.859 0.018
Nd 5.280 5.464 8.754
Nd 5.276 5.475 2.949
Nd 6.332 0.001 5.835
Ho 2.098 3.660 2.944
Ho 3.169 5.459 5.839
Ho 5.288 1.864 2.933
Ho 6.358 3.663 5.828
```


Repeat the fourth record exactly.
Entry from Alexandria via LeMat-Bulk: a relaxed PrNd7Ho4 crystal (PBE).

polymorph energy (0 for the lowest one) = 0 meV/atom
space group = No. 2

extended XYZ file:
```
12
Lattice="6.342 0.000 0.000 0.001 7.323 0.000 2.113 0.000 8.772" Properties=species:S:1:pos:R:3 pbc="T T T"
Pr 0.000 0.000 0.000
Nd 0.000 3.661 0.000
Nd 2.124 7.322 2.937
Nd 3.180 1.847 5.823
Nd 3.176 1.859 0.018
Nd 5.280 5.464 8.754
Nd 5.276 5.475 2.949
Nd 6.332 0.001 5.835
Ho 2.098 3.660 2.944
Ho 3.169 5.459 5.839
Ho 5.288 1.864 2.933
Ho 6.358 3.663 5.828
```


Please write out number 4 again, unchanged.
Entry from Alexandria via LeMat-Bulk: a relaxed PrNd7Ho4 crystal (PBE).

polymorph energy (0 for the lowest one) = 0 meV/atom
space group = No. 2

extended XYZ file:
```
12
Lattice="6.342 0.000 0.000 0.001 7.323 0.000 2.113 0.000 8.772" Properties=species:S:1:pos:R:3 pbc="T T T"
Pr 0.000 0.000 0.000
Nd 0.000 3.661 0.000
Nd 2.124 7.322 2.937
Nd 3.180 1.847 5.823
Nd 3.176 1.859 0.018
Nd 5.280 5.464 8.754
Nd 5.276 5.475 2.949
Nd 6.332 0.001 5.835
Ho 2.098 3.660 2.944
Ho 3.169 5.459 5.839
Ho 5.288 1.864 2.933
Ho 6.358 3.663 5.828
```


Repeat the second record exactly.
Entry from Alexandria via LeMat-Bulk: a relaxed Y2ZrHg crystal (PBE).

space group = No. 65
total DFT energy (no corrections) = -5.516 eV/atom

extended XYZ file:
```
4
Lattice="3.640 -4.153 0.000 3.640 4.153 0.000 0.000 0.000 3.480" Properties=species:S:1:pos:R:3 pbc="T T T"
Y 1.820 2.076 0.000
Y 1.820 -2.076 0.000
Zr 0.000 0.000 1.740
Hg 3.640 0.000 1.740
```


What is the formula in the third record? GdTmZrSc